Compound: HfHg2Os
Source: Alexandria
Functional: PBE
Structure: optimized geometry

The space group is Fm-3m (No. 225) and the conventional cell measures 6.6862, 6.6862 and 6.6862 Å, with angles of 90.00, 90.00 and 90.00 degrees. The asymmetric unit holds Hf at (0.0000, 0.0000, 0.0000), Hg at (0.2500, 0.2500, 0.2500) and Os at (0.0000, 0.0000, 0.5000).

The polymorph energy (0 for the lowest one) comes out at 0.000 eV/f.u. Its formation enthalpy at 0 K is 421.2 meV per atom. As for the density of states at the Fermi level: 0.964 states/eV/atom.